DFT (PBE+U) results for crystalline RbMo2RuO8 at its relaxed geometry.

- calculated total energy (eV/atom) = -6.84
- space-group type = No. 147
- M_tot (μB/atom) = 0.085

abc: 5.803 5.803 7.701
angles: 90.00 90.00 120.00
Positions (direct):
1 O 0.333 0.667 0.953
2 O 0.667 0.333 0.047
3 O 0.323 0.164 0.349
4 O 0.159 0.323 0.651
5 O 0.841 0.677 0.349
6 O 0.677 0.836 0.651
7 O 0.164 0.841 0.651
8 O 0.836 0.159 0.349
9 Rb 0.000 0.000 0.000
10 Ru 0.000 0.000 0.500
11 Mo 0.667 0.333 0.276
12 Mo 0.333 0.667 0.724